[1]
Material: DyP
Method: DFT, GGA-PBE
State: relaxed

The space group is Pmma (No. 51) and the conventional cell measures 6.1598, 5.4188 and 5.3357 Å, with angles of 90.00, 90.00 and 90.00 degrees. The asymmetric unit holds Dy at (0.0000, 0.0000, 0.0000), Dy at (0.2500, 0.5000, 0.3449), P at (0.2500, 0.0000, 0.4725) and P at (0.2500, 0.5000, 0.8491).

The value obtained for the total energy is -5.8956 eV per atom. As for the size of the total moment: 0.0 μB per cell.


[2]
Material: Al2Hg3
Method: DFT, GGA-PBE
State: relaxed

The space group is R-3c (No. 167, hexagonal axes) and the conventional cell measures 6.7678, 6.7678 and 18.3483 Å, with angles of 90.00, 90.00 and 120.00 degrees. The asymmetric unit holds Al at (0.0000, 0.0000, 0.1760) and Hg at (0.0000, 0.3752, 0.2500).

The value obtained for the total energy is -1.5384 eV per atom.


[3]
Material: AlFe2Si
Method: DFT, GGA-PBE
State: relaxed

The space group is Pm-3m (No. 221) and the conventional cell measures 5.6034, 5.6034 and 5.6034 Å, with angles of 90.00, 90.00 and 90.00 degrees. The asymmetric unit holds Al at (0.0000, 0.0000, 0.0000), Al at (0.0000, 0.0000, 0.5000), Fe at (0.2580, 0.2580, 0.2580), Si at (0.0000, 0.5000, 0.5000) and Si at (0.5000, 0.5000, 0.5000).

The value obtained for the total energy is -6.9189 eV per atom. As for the size of the total moment: 1.4 μB per cell.


[4]
Material: AgP6S
Method: DFT, GGA-PBE
State: relaxed

The space group is F-43m (No. 216) and the conventional cell measures 8.5559, 8.5559 and 8.5559 Å, with angles of 90.00, 90.00 and 90.00 degrees. The asymmetric unit holds Ag at (0.0000, 0.0000, 0.0000), P at (0.0440, 0.2500, 0.2500) and S at (0.2500, 0.2500, 0.7500).

The value obtained for the total energy is -4.0660 eV per atom.


[5]
Material: Li2Zn2InGaIr2
Method: DFT, GGA-PBE
State: relaxed

The space group is P-4m2 (No. 115) and the conventional cell measures 4.3566, 4.3566 and 6.2058 Å, with angles of 90.00, 90.00 and 90.00 degrees. The asymmetric unit holds Li at (0.0000, 0.5000, 0.2346), Zn at (0.0000, 0.0000, 0.0000), Zn at (0.5000, 0.5000, 0.5000), In at (0.0000, 0.0000, 0.5000), Ga at (0.5000, 0.5000, 0.0000) and Ir at (0.0000, 0.5000, 0.7668).

The value obtained for the total energy is -4.1118 eV per atom. As for the size of the total moment: 0.0 μB per cell.


[6]
Material: LaMgBeAu
Method: DFT, GGA-PBE
State: relaxed

The space group is F-43m (No. 216) and the conventional cell measures 7.0096, 7.0096 and 7.0096 Å, with angles of 90.00, 90.00 and 90.00 degrees. The asymmetric unit holds La at (0.0000, 0.0000, 0.0000), Mg at (0.0000, 0.0000, 0.5000), Be at (0.2500, 0.2500, 0.2500) and Au at (0.2500, 0.2500, 0.7500).

The value obtained for the total energy is -3.6086 eV per atom. As for the size of the total moment: 0.0 μB per cell.


[7]
Material: NbTcPt
Method: DFT, GGA-PBE
State: relaxed

The space group is F-43m (No. 216) and the conventional cell measures 6.0782, 6.0782 and 6.0782 Å, with angles of 90.00, 90.00 and 90.00 degrees. The asymmetric unit holds Nb at (0.0000, 0.0000, 0.0000), Tc at (0.2500, 0.2500, 0.2500) and Pt at (0.2500, 0.2500, 0.7500).

The value obtained for the total energy is -8.5525 eV per atom. The value obtained for the formation energy from the elements is 0.2843 eV per atom. As for the size of the total moment: 0.0 μB per cell.


[8]
Material: AlInAu
Method: DFT, GGA-PBE
State: relaxed

The space group is P4/nmm (No. 129, origin choice 2) and the conventional cell measures 4.4942, 4.4942 and 6.3364 Å, with angles of 90.00, 90.00 and 90.00 degrees. The asymmetric unit holds Al at (0.2500, 0.7500, 0.0000), In at (0.2500, 0.7500, 0.5000) and Au at (0.2500, 0.2500, 0.2103).

The value obtained for the total energy is -3.5539 eV per atom.


[9]
Material: K2P2Au3N
Method: DFT, GGA-PBE
State: relaxed

The space group is C2 (No. 5) and the conventional cell measures 10.0114, 7.9654 and 6.7956 Å, with angles of 90.00, 130.52 and 90.00 degrees. The asymmetric unit holds K at (0.1403, 0.0000, 0.3753), P at (0.1171, 0.6386, 0.9382), Au at (0.0000, 0.6418, 0.5000), Au at (0.1956, 0.3542, 0.0025) and N at (0.0000, 0.7381, 0.0000).

The value obtained for the total energy is -4.1928 eV per atom.


[10]
Material: Cu2Ag
Method: DFT, GGA-PBE
State: relaxed

The space group is I4/mmm (No. 139) and the conventional cell measures 2.7236, 2.7236 and 11.2097 Å, with angles of 90.00, 90.00 and 90.00 degrees. The asymmetric unit holds Cu at (0.0000, 0.0000, 0.1766) and Ag at (0.0000, 0.0000, 0.5000).

The value obtained for the total energy is -3.3364 eV per atom. The value obtained for the formation energy from the elements is 0.0831 eV per atom.


[11]
Material: NpPaHg
Method: DFT, GGA-PBE
State: relaxed

The space group is F-43m (No. 216) and the conventional cell measures 6.8411, 6.8411 and 6.8411 Å, with angles of 90.00, 90.00 and 90.00 degrees. The asymmetric unit holds Np at (0.0000, 0.0000, 0.0000), Pa at (0.2500, 0.2500, 0.2500) and Hg at (0.2500, 0.2500, 0.7500).

The value obtained for the total energy is -6.9179 eV per atom. The value obtained for the formation energy from the elements is 0.6032 eV per atom. As for the size of the total moment: 24.0 μB per cell.


[12]
Material: LiTaMoW
Method: DFT, GGA-PBE
State: relaxed

The space group is F-43m (No. 216) and the conventional cell measures 6.3197, 6.3197 and 6.3197 Å, with angles of 90.00, 90.00 and 90.00 degrees. The asymmetric unit holds Li at (0.0000, 0.0000, 0.0000), Ta at (0.2500, 0.2500, 0.2500), Mo at (0.2500, 0.2500, 0.7500) and W at (0.0000, 0.0000, 0.5000).

The value obtained for the total energy is -9.0784 eV per atom. As for the size of the total moment: 0.0 μB per cell.


| no. | theoretical density (Mg/m³) |
| --- | --- |
| 1 | 7.22 |
| 2 | 8.98 |
| 3 | 6.30 |
| 4 | 3.45 |
| 5 | 10.06 |
| 6 | 7.12 |
| 7 | 11.42 |
| 8 | 8.79 |
| 9 | 6.01 |
| 10 | 9.38 |
| 11 | 13.87 |
| 12 | 12.31 |